FeAsIr2: optimized geometry, PBE.

Results
M_tot: 3.49 μB per formula unit
Space group: No. 123
Crystal system: tetragonal
Calculated formation energy: 0.10 eV per atom
Calculated total energy: -7.608 eV/atom

a = 2.893 Å, b = 2.893 Å, c = 6.877 Å
α = 90.00°, β = 90.00°, γ = 90.00°
Each line ends with the local moment (μB).
Atoms (fractional coordinates):
Ir 0.000 0.000 0.001  0.26
As 0.500 0.500 0.250  -0.01
Ir 0.000 0.000 0.499  0.26
Fe 0.500 0.500 0.750  2.95